First-principles (PBE) data for crystalline TmScPSe at its relaxed geometry, as listed in the Alexandria database.

Results
- energy relative to the elements, uncorrected (eV per formula unit) = -6.52

a b c (Å): 3.8274 3.8274 20.0893
angles (deg): 90.00 90.00 120.00
Space group R3m (No. 160, hexagonal axes)
Unique sites:
1 Tm 0.0000 0.0000 0.0000 (multiplicity 3)
2 Sc 0.0000 0.0000 0.8147 (multiplicity 3)
3 P 0.0000 0.0000 0.4133 (multiplicity 3)
4 Se 0.0000 0.0000 0.2371 (multiplicity 3)